Here is an optimized crystal structure of Li5Cl3 from Alexandria via LeMat-Bulk. Energies are from PBE.

Properties
DFT total energy (eV/atom): -3.042
Total magnetic moment (Bohr magnetons per cell): 0.00
Space-group type: P6_3/mcm

Unit cell a=7.1753 b=7.1753 c=6.7409 alpha=90.00 beta=90.00 gamma=120.00
Element x y z (fractional)
Li  0.0000  0.2108  0.2500
Li  0.0000  0.7892  0.7500
Li  0.2108  0.0000  0.2500
Li  0.2108  0.2108  0.7500
Li  0.3333  0.6667  0.0000
Li  0.3333  0.6667  0.5000
Li  0.6667  0.3333  0.0000
Li  0.6667  0.3333  0.5000
Li  0.7892  0.0000  0.7500
Li  0.7892  0.7892  0.2500
Cl  0.0000  0.4614  0.7500
Cl  0.0000  0.5386  0.2500
Cl  0.4614  0.0000  0.7500
Cl  0.4614  0.4614  0.2500
Cl  0.5386  0.0000  0.2500
Cl  0.5386  0.5386  0.7500